[1]
The following is a GGA-PBE calculation of a relaxed structure of SrTaRe2, from Alexandria via LeMat-Bulk.

Summary:
uncorrected energy	-9.0314	eV/atom
calculated volume	18.7	Å³ per atom
crystal system	orthorhombic
spin magnetization	0.00	μB/f.u.

Cell lengths 2.854, 2.854, 9.720 Å; angles 90.00, 90.00, 109.56 degrees
Sites, in units of the cell vectors:
Re 0.000 0.000 0.970
Sr 0.500 0.500 0.250
Re 0.000 0.000 0.530
Ta 0.500 0.500 0.750

***

[2]
The following is a GGA-PBE calculation of a relaxed structure of NaHgI, from Alexandria via LeMat-Bulk.

Summary:
calculated volume	40.9	Å³ per atom
crystal system	trigonal
energy relative to the elements, uncorrected	-0.7102	eV/atom
spin magnetization	0.00	μB/f.u.

Cell lengths 4.891, 4.891, 5.921 Å; angles 90.00, 90.00, 120.00 degrees
Sites, in units of the cell vectors:
Na 0.667 0.333 0.390
I 0.333 0.667 0.588
Hg 0.000 0.000 0.022

***

[3]
The following is a GGA-PBE calculation of a relaxed structure of BeSi2H, from Alexandria via LeMat-Bulk.

Summary:
uncorrected energy	-4.4112	eV/atom
calculated volume	13.4	Å³ per atom
crystal system	monoclinic
spin magnetization	0.00	μB/f.u.

Cell lengths 3.872, 8.239, 3.876 Å; angles 90.00, 119.70, 90.00 degrees
Sites, in units of the cell vectors:
Si 0.845 0.256 0.465
Si 0.180 0.355 0.133
Be 0.622 0.000 0.175
H 0.558 0.000 0.786
Si 0.845 0.744 0.465
Si 0.180 0.645 0.133
H 0.247 0.000 0.163
Be 0.926 0.000 0.777

***

[4]
The following is a GGA-PBE calculation of a relaxed structure of Tm6Sn3Hg, from Alexandria via LeMat-Bulk.

Summary:
uncorrected energy	-4.3086	eV/atom
calculated volume	29.1	Å³ per atom
crystal system	monoclinic
spin magnetization	0.00	μB/f.u.

Cell lengths 7.449, 8.155, 9.600 Å; angles 90.00, 91.73, 90.00 degrees
Sites, in units of the cell vectors:
Hg 0.000 0.000 0.000
Tm 0.147 0.333 0.444
Sn 0.500 0.500 0.000
Tm 0.853 0.667 0.556
Sn 0.060 0.634 0.243
Sn 0.560 0.866 0.743
Tm 0.733 0.412 0.252
Tm 0.841 0.672 0.937
Sn 0.940 0.366 0.757
Tm 0.267 0.588 0.748
Tm 0.341 0.828 0.437
Tm 0.767 0.912 0.248
Tm 0.233 0.088 0.752
Tm 0.659 0.172 0.563
Sn 0.000 0.000 0.500
Hg 0.500 0.500 0.500
Tm 0.353 0.833 0.056
Tm 0.159 0.328 0.063
Tm 0.647 0.167 0.944
Sn 0.440 0.134 0.257

***

[5]
The following is a GGA-PBE calculation of a relaxed structure of CsNa2, from Alexandria via LeMat-Bulk.

Summary:
uncorrected energy	-1.1562	eV/atom
calculated volume	56.6	Å³ per atom
crystal system	cubic
spin magnetization	0.00	μB/f.u.

Cell lengths 7.832, 7.832, 7.832 Å; angles 60.00, 60.00, 60.00 degrees
Sites, in units of the cell vectors:
Cs 0.000 0.000 0.000
Na 0.625 0.125 0.625
Na 0.625 0.625 0.125
Cs 0.250 0.250 0.250
Na 0.125 0.625 0.625
Na 0.625 0.625 0.625